# K2BaSc, optimized geometry, DFT PBE
# polymorph energy (0 for the lowest one): 0.93 eV per formula unit
# energy relative to the elements: 0.59 eV per atom
# calculated volume: 51.04 Å³ per atom
data_K2BaSc
_symmetry_space_group_name_H-M 'F m -3 m'
_symmetry_Int_Tables_number 225
_symmetry_space_group_name_Hall '-F 4 2 3'
_cell_length_a 9.3474
_cell_length_b 9.3474
_cell_length_c 9.3474
_cell_angle_alpha 90.00
_cell_angle_beta 90.00
_cell_angle_gamma 90.00
loop_
_atom_site_label
_atom_site_fract_x
_atom_site_fract_y
_atom_site_fract_z
_atom_site_occupancy
K1 0.2500 0.2500 0.2500 1
Ba1 0.0000 0.0000 0.0000 1
Sc1 0.0000 0.0000 0.5000 1



# Bi2PdO, optimized geometry, DFT PBE
# raw formation energy: -311 meV/atom
# calculated volume: 24.83 Å³ per atom
data_Bi2PdO
_symmetry_space_group_name_H-M 'I -4 2 d'
_symmetry_Int_Tables_number 122
_symmetry_space_group_name_Hall 'I -4 2bw'
_cell_length_a 5.6171
_cell_length_b 5.6171
_cell_length_c 12.5930
_cell_angle_alpha 90.00
_cell_angle_beta 90.00
_cell_angle_gamma 90.00
loop_
_atom_site_label
_atom_site_fract_x
_atom_site_fract_y
_atom_site_fract_z
_atom_site_occupancy
Bi1 0.1991 0.2500 0.1250 1
Pd1 0.0000 0.0000 0.5000 1
O1 0.0000 0.0000 0.0000 1



# Li6ThPt4, optimized geometry, DFT PBE
# energy relative to the elements: -0.44 eV per atom
# calculated volume: 18.86 Å³ per atom
data_Li6ThPt4
_symmetry_space_group_name_H-M 'I -4 2 m'
_symmetry_Int_Tables_number 121
_symmetry_space_group_name_Hall 'I -4 2'
_cell_length_a 6.4866
_cell_length_b 6.4866
_cell_length_c 9.8635
_cell_angle_alpha 90.00
_cell_angle_beta 90.00
_cell_angle_gamma 90.00
loop_
_atom_site_label
_atom_site_fract_x
_atom_site_fract_y
_atom_site_fract_z
_atom_site_occupancy
Li1 0.0000 0.5000 0.0000 1
Li2 0.1842 0.1842 0.1989 1
Th1 0.0000 0.0000 0.5000 1
Pt1 0.1956 0.1956 0.9345 1



# Cs2RhO, optimized geometry, DFT PBE
# raw formation energy: 470 meV/atom
# calculated volume: 25.77 Å³ per atom
data_Cs2RhO
_symmetry_space_group_name_H-M 'F m -3 m'
_symmetry_Int_Tables_number 225
_symmetry_space_group_name_Hall '-F 4 2 3'
_cell_length_a 7.4427
_cell_length_b 7.4427
_cell_length_c 7.4427
_cell_angle_alpha 90.00
_cell_angle_beta 90.00
_cell_angle_gamma 90.00
loop_
_atom_site_label
_atom_site_fract_x
_atom_site_fract_y
_atom_site_fract_z
_atom_site_occupancy
Cs1 0.2500 0.2500 0.2500 1
Rh1 0.0000 0.0000 0.0000 1
O1 0.0000 0.0000 0.5000 1



# Pm5Rh2Pb, optimized geometry, DFT PBE
# energy relative to the elements: -0.58 eV per atom
# calculated volume: 27.67 Å³ per atom
data_Pm5Rh2Pb
_symmetry_space_group_name_H-M 'I 4/m c m'
_symmetry_Int_Tables_number 140
_symmetry_space_group_name_Hall '-I 4 2c'
_cell_length_a 7.9846
_cell_length_b 7.9846
_cell_length_c 13.8882
_cell_angle_alpha 90.00
_cell_angle_beta 90.00
_cell_angle_gamma 90.00
loop_
_atom_site_label
_atom_site_fract_x
_atom_site_fract_y
_atom_site_fract_z
_atom_site_occupancy
Pm1 0.0000 0.0000 0.0000 1
Pm2 0.1590 0.3410 0.1344 1
Rh1 0.1395 0.3605 0.5000 1
Pb1 0.0000 0.0000 0.2500 1



# K2NaNiAg, optimized geometry, DFT PBE
# energy relative to the elements: 0.82 eV per atom
# calculated volume: 44.79 Å³ per atom
data_K2NaNiAg
_symmetry_space_group_name_H-M 'P 4/m m m'
_symmetry_Int_Tables_number 123
_symmetry_space_group_name_Hall '-P 4 2'
_cell_length_a 6.5406
_cell_length_b 6.5406
_cell_length_c 5.2356
_cell_angle_alpha 90.00
_cell_angle_beta 90.00
_cell_angle_gamma 90.00
loop_
_atom_site_label
_atom_site_fract_x
_atom_site_fract_y
_atom_site_fract_z
_atom_site_occupancy
K1 0.0000 0.5000 0.0000 1
Na1 0.0000 0.0000 0.0000 1
Ni1 0.5000 0.5000 0.5000 1
Ag1 0.0000 0.0000 0.5000 1



# CsSb2P2, optimized geometry, DFT PBE
# raw formation energy: -121 meV/atom
# polymorph energy (0 for the lowest one): 0.00 eV per formula unit
# calculated volume: 31.72 Å³ per atom
data_CsSb2P2
_symmetry_space_group_name_H-M 'I 4/m m m'
_symmetry_Int_Tables_number 139
_symmetry_space_group_name_Hall '-I 4 2'
_cell_length_a 5.0539
_cell_length_b 5.0539
_cell_length_c 12.4189
_cell_angle_alpha 90.00
_cell_angle_beta 90.00
_cell_angle_gamma 90.00
loop_
_atom_site_label
_atom_site_fract_x
_atom_site_fract_y
_atom_site_fract_z
_atom_site_occupancy
Cs1 0.0000 0.0000 0.0000 1
Sb1 0.0000 0.0000 0.3279 1
P1 0.0000 0.5000 0.2500 1



# RbTcCl2, optimized geometry, DFT PBE
# raw formation energy: -38 meV/atom
# polymorph energy (0 for the lowest one): 1.24 eV per formula unit
# calculated volume: 25.22 Å³ per atom
data_RbTcCl2
_symmetry_space_group_name_H-M 'F m -3 m'
_symmetry_Int_Tables_number 225
_symmetry_space_group_name_Hall '-F 4 2 3'
_cell_length_a 7.3896
_cell_length_b 7.3896
_cell_length_c 7.3896
_cell_angle_alpha 90.00
_cell_angle_beta 90.00
_cell_angle_gamma 90.00
loop_
_atom_site_label
_atom_site_fract_x
_atom_site_fract_y
_atom_site_fract_z
_atom_site_occupancy
Rb1 0.0000 0.0000 0.0000 1
Tc1 0.0000 0.0000 0.5000 1
Cl1 0.2500 0.2500 0.2500 1



Calculated E_tot (eV per atom), listed in the same order as above: -2.0183, -4.7893, -4.3572, -3.0341, -5.8525, -1.6133, -4.1049, -3.7945